No. 1
Computed, not measured: crystalline NaNd3Tl5 at its relaxed geometry at the PBE level of DFT.

Results
* Fermi-level density of states: 12.9 states/eV/cell
* energy relative to the elements: -278.5 meV per atom

abc: 6.628 9.528 9.528
angles: 120.00 90.00 90.00
Positions (direct):
1 Na 0.000 0.000 0.000
2 Na 0.500 0.000 0.000
3 Nd 0.750 0.362 0.362
4 Nd 0.750 0.000 0.638
5 Nd 0.750 0.638 0.000
6 Nd 0.250 0.638 0.638
7 Nd 0.250 0.000 0.362
8 Nd 0.250 0.362 0.000
9 Tl 0.000 0.667 0.333
10 Tl 0.500 0.333 0.667
11 Tl 0.000 0.333 0.667
12 Tl 0.500 0.667 0.333
13 Tl 0.750 0.698 0.698
14 Tl 0.750 0.000 0.302
15 Tl 0.750 0.302 0.000
16 Tl 0.250 0.302 0.302
17 Tl 0.250 0.000 0.698
18 Tl 0.250 0.698 0.000

No. 2
Computed, not measured: crystalline NaNd2Tl at its relaxed geometry at the PBE level of DFT.

Results
* Fermi-level density of states: 4.7 states/eV/cell
* ΔE to the lowest computed polymorph: 1.00 kcal/mol of atoms
* energy relative to the elements: -56.2 meV per atom

abc: 3.847 3.847 8.686
angles: 90.00 90.00 90.00
Positions (direct):
1 Na 0.500 0.500 0.000
2 Tl 0.500 0.500 0.500
3 Nd 0.000 0.000 0.724
4 Nd 0.000 0.000 0.276

No. 3
Computed, not measured: crystalline NaNd2Tl3 at its relaxed geometry at the PBE level of DFT.

Results
* Fermi-level density of states: 3.9 states/eV/cell
* ΔE to the lowest computed polymorph: 0.48 kcal/mol of atoms
* energy relative to the elements: -283.5 meV per atom

abc: 3.788 3.788 12.079
angles: 90.00 90.00 90.00
Positions (direct):
1 Na 0.500 0.500 0.500
2 Nd 0.500 0.500 0.826
3 Nd 0.500 0.500 0.174
4 Tl 0.000 0.000 0.000
5 Tl 0.000 0.000 0.657
6 Tl 0.000 0.000 0.343

No. 4
Computed, not measured: crystalline NaNd2Tl8 at its relaxed geometry at the PBE level of DFT.

Results
* Fermi-level density of states: 5.2 states/eV/cell
* energy relative to the elements: -187.4 meV per atom

abc: 4.961 4.961 12.987
angles: 90.00 90.00 90.00
Positions (direct):
1 Na 0.000 0.000 0.000
2 Nd 0.000 0.000 0.323
3 Nd 0.000 0.000 0.677
4 Tl 0.000 0.500 0.500
5 Tl 0.500 0.000 0.500
6 Tl 0.500 0.500 0.318
7 Tl 0.500 0.500 0.682
8 Tl 0.000 0.500 0.142
9 Tl 0.500 0.000 0.142
10 Tl 0.000 0.500 0.858
11 Tl 0.500 0.000 0.858

No. 5
Computed, not measured: crystalline NaNd5Tl6 at its relaxed geometry at the PBE level of DFT.

Results
* Fermi-level density of states: 9.9 states/eV/cell
* energy relative to the elements: -344.3 meV per atom

abc: 9.560 5.456 8.665
angles: 71.65 79.65 55.21
Positions (direct):
1 Na 0.000 0.000 0.000
2 Nd 0.500 0.167 0.666
3 Nd 0.000 0.339 0.321
4 Nd 0.500 0.500 0.000
5 Nd 0.000 0.661 0.679
6 Nd 0.500 0.833 0.334
7 Tl 0.756 0.079 0.330
8 Tl 0.244 0.591 0.330
9 Tl 0.247 0.253 0.000
10 Tl 0.753 0.747 0.000
11 Tl 0.756 0.409 0.670
12 Tl 0.244 0.921 0.670

No. 6
Computed, not measured: crystalline NaNd2Tl at its relaxed geometry at the PBE level of DFT.

Results
* Fermi-level density of states: 5.5 states/eV/cell
* ΔE to the lowest computed polymorph: 0.00 kcal/mol of atoms
* energy relative to the elements: -99.6 meV per atom

abc: 5.561 5.561 5.561
angles: 60.00 60.00 60.00
Positions (direct):
1 Na 0.000 0.000 0.000
2 Tl 0.500 0.500 0.500
3 Nd 0.250 0.250 0.250
4 Nd 0.750 0.750 0.750

No. 7
Computed, not measured: crystalline NaNdTl4 at its relaxed geometry at the PBE level of DFT.

Results
* Fermi-level density of states: 3.6 states/eV/cell
* ΔE to the lowest computed polymorph: 2.84 kcal/mol of atoms
* energy relative to the elements: -44.2 meV per atom

abc: 6.344 6.344 6.344
angles: 60.00 60.00 60.00
Positions (direct):
1 Na 0.250 0.250 0.250
2 Tl 0.625 0.625 0.125
3 Tl 0.625 0.125 0.625
4 Tl 0.625 0.625 0.625
5 Tl 0.125 0.625 0.625
6 Nd 0.000 0.000 0.000

No. 8
Computed, not measured: crystalline NaNd5Tl8 at its relaxed geometry at the PBE level of DFT.

Results
* Fermi-level density of states: 10.3 states/eV/cell
* energy relative to the elements: -253.8 meV per atom

abc: 8.207 8.207 8.207
angles: 109.01 110.41 109.01
Positions (direct):
1 Na 0.250 0.500 0.750
2 Nd 0.983 0.383 0.127
3 Nd 0.873 0.856 0.255
4 Nd 0.745 0.617 0.600
5 Nd 0.500 0.000 0.500
6 Nd 0.400 0.144 0.017
7 Tl 0.128 0.756 0.029
8 Tl 0.971 0.099 0.726
9 Tl 0.807 0.241 0.389
10 Tl 0.611 0.418 0.852
11 Tl 0.433 0.582 0.193
12 Tl 0.627 0.901 0.872
13 Tl 0.274 0.244 0.373
14 Tl 0.148 0.759 0.567

No. 9
Computed, not measured: crystalline Na3NdTl4 at its relaxed geometry at the PBE level of DFT.

Results
* Fermi-level density of states: 4.0 states/eV/cell
* energy relative to the elements: -176.2 meV per atom

abc: 5.488 5.488 8.407
angles: 109.02 109.05 90.00
Positions (direct):
1 Na 0.000 0.500 0.000
2 Na 0.750 0.250 0.500
3 Na 0.250 0.750 0.500
4 Tl 0.374 0.374 0.747
5 Tl 0.626 0.626 0.253
6 Tl 0.126 0.126 0.253
7 Tl 0.874 0.874 0.747
8 Nd 0.500 0.000 0.000

No. 10
Computed, not measured: crystalline NaNd5Tl4 at its relaxed geometry at the PBE level of DFT.

Results
* Fermi-level density of states: 7.6 states/eV/cell
* ΔE to the lowest computed polymorph: 0.00 kcal/mol of atoms
* energy relative to the elements: -264.1 meV per atom

abc: 3.772 3.772 21.609
angles: 90.00 90.00 90.00
Positions (direct):
1 Na 0.000 0.000 0.000
2 Nd 0.500 0.500 0.116
3 Nd 0.500 0.500 0.306
4 Nd 0.500 0.500 0.500
5 Nd 0.500 0.500 0.694
6 Nd 0.500 0.500 0.884
7 Tl 0.000 0.000 0.207
8 Tl 0.000 0.000 0.403
9 Tl 0.000 0.000 0.597
10 Tl 0.000 0.000 0.793

No. 11
Computed, not measured: crystalline NaNd6Tl5 at its relaxed geometry at the PBE level of DFT.

Results
* Fermi-level density of states: 11.1 states/eV/cell
* ΔE to the lowest computed polymorph: 3.06 kcal/mol of atoms
* energy relative to the elements: -170.9 meV per atom

abc: 10.302 6.705 6.624
angles: 59.59 84.36 78.80
Positions (direct):
1 Na 0.000 0.000 0.000
2 Nd 0.734 0.094 0.355
3 Nd 0.266 0.551 0.355
4 Nd 0.238 0.278 0.000
5 Nd 0.762 0.722 0.000
6 Nd 0.734 0.449 0.645
7 Nd 0.266 0.906 0.645
8 Tl 0.500 0.145 0.711
9 Tl 0.000 0.308 0.383
10 Tl 0.500 0.500 0.000
11 Tl 0.000 0.692 0.617
12 Tl 0.500 0.855 0.289

No. 12
Computed, not measured: crystalline Na4NdTl5 at its relaxed geometry at the PBE level of DFT.

Results
* Fermi-level density of states: 6.8 states/eV/cell
* energy relative to the elements: -148.8 meV per atom

abc: 3.840 3.840 19.135
angles: 90.00 90.00 90.00
Positions (direct):
1 Na 0.000 0.000 0.203
2 Na 0.000 0.000 0.400
3 Na 0.000 0.000 0.600
4 Na 0.000 0.000 0.797
5 Nd 0.000 0.000 0.000
6 Tl 0.500 0.500 0.107
7 Tl 0.500 0.500 0.300
8 Tl 0.500 0.500 0.500
9 Tl 0.500 0.500 0.700
10 Tl 0.500 0.500 0.893

No. 13
Computed, not measured: crystalline NaNd2Tl4 at its relaxed geometry at the PBE level of DFT.

Results
* Fermi-level density of states: 7.1 states/eV/cell
* energy relative to the elements: 100.0 meV per atom

abc: 5.244 5.244 9.004
angles: 106.93 106.93 90.00
Positions (direct):
1 Na 0.000 0.000 0.000
2 Nd 0.628 0.628 0.257
3 Nd 0.372 0.372 0.743
4 Tl 0.822 0.822 0.644
5 Tl 0.178 0.178 0.356
6 Tl 0.000 0.500 0.000
7 Tl 0.500 0.000 0.000

No. 14
Computed, not measured: crystalline Na2NdTl3 at its relaxed geometry at the PBE level of DFT.

Results
* Fermi-level density of states: 4.0 states/eV/cell
* energy relative to the elements: -198.4 meV per atom

abc: 3.775 5.488 8.759
angles: 108.26 90.00 90.00
Positions (direct):
1 Na 0.000 0.330 0.661
2 Na 0.000 0.670 0.339
3 Nd 0.000 0.000 0.000
4 Tl 0.500 0.500 0.000
5 Tl 0.500 0.832 0.663
6 Tl 0.500 0.168 0.337

No. 15
Computed, not measured: crystalline NaNd6Tl5 at its relaxed geometry at the PBE level of DFT.

Results
* Fermi-level density of states: 13.0 states/eV/cell
* ΔE to the lowest computed polymorph: 0.00 kcal/mol of atoms
* energy relative to the elements: -303.5 meV per atom

abc: 5.548 9.642 9.642
angles: 120.64 106.72 106.72
Positions (direct):
1 Na 0.000 0.000 0.000
2 Tl 0.500 0.153 0.847
3 Tl 0.000 0.333 0.667
4 Tl 0.500 0.500 0.500
5 Tl 0.000 0.667 0.333
6 Tl 0.500 0.847 0.153
7 Nd 0.253 0.082 0.424
8 Nd 0.747 0.576 0.918
9 Nd 0.761 0.261 0.261
10 Nd 0.239 0.739 0.739
11 Nd 0.253 0.424 0.082
12 Nd 0.747 0.918 0.576

No. 16
Computed, not measured: crystalline NaNd5Tl4 at its relaxed geometry at the PBE level of DFT.

Results
* Fermi-level density of states: 23.9 states/eV/cell
* ΔE to the lowest computed polymorph: 6.51 kcal/mol of atoms
* energy relative to the elements: 18.3 meV per atom

abc: 8.900 7.623 10.566
angles: 90.00 90.00 90.00
Positions (direct):
1 Na 0.889 0.000 0.000
2 Na 0.111 0.500 0.500
3 Nd 0.290 0.749 0.800
4 Nd 0.290 0.251 0.800
5 Nd 0.770 0.500 0.000
6 Nd 0.290 0.749 0.200
7 Nd 0.290 0.251 0.200
8 Nd 0.710 0.751 0.300
9 Nd 0.710 0.249 0.300
10 Nd 0.230 0.000 0.500
11 Nd 0.710 0.249 0.700
12 Nd 0.710 0.751 0.700
13 Tl 0.999 0.000 0.730
14 Tl 0.554 0.807 0.000
15 Tl 0.554 0.193 0.000
16 Tl 0.999 0.000 0.270
17 Tl 0.001 0.500 0.230
18 Tl 0.446 0.693 0.500
19 Tl 0.446 0.307 0.500
20 Tl 0.001 0.500 0.770

No. 17
Computed, not measured: crystalline NaNdTl2 at its relaxed geometry at the PBE level of DFT.

Results
* Fermi-level density of states: 4.4 states/eV/cell
* ΔE to the lowest computed polymorph: 4.08 kcal/mol of atoms
* energy relative to the elements: -101.0 meV per atom

abc: 3.634 3.634 10.884
angles: 80.39 80.39 60.00
Positions (direct):
1 Na 0.500 0.500 0.500
2 Tl 0.752 0.752 0.745
3 Tl 0.248 0.248 0.255
4 Nd 0.000 0.000 0.000

No. 18
Computed, not measured: crystalline NaNdTl3 at its relaxed geometry at the PBE level of DFT.

Results
* Fermi-level density of states: 5.0 states/eV/cell
* energy relative to the elements: -20.4 meV per atom

abc: 6.173 7.430 7.430
angles: 120.00 90.00 90.00
Positions (direct):
1 Na 0.000 0.000 0.000
2 Na 0.500 0.000 0.000
3 Nd 0.250 0.334 0.666
4 Nd 0.750 0.666 0.334
5 Tl 0.250 0.805 0.195
6 Tl 0.750 0.195 0.805
7 Tl 0.250 0.805 0.610
8 Tl 0.750 0.195 0.390
9 Tl 0.250 0.390 0.195
10 Tl 0.750 0.610 0.805

No. 19
Computed, not measured: crystalline NaNd2Tl at its relaxed geometry at the PBE level of DFT.

Results
* Fermi-level density of states: 4.3 states/eV/cell
* ΔE to the lowest computed polymorph: 3.64 kcal/mol of atoms
* energy relative to the elements: 58.2 meV per atom

abc: 3.619 3.619 12.591
angles: 81.74 81.74 60.00
Positions (direct):
1 Na 0.000 0.000 0.000
2 Tl 0.500 0.500 0.500
3 Nd 0.097 0.097 0.708
4 Nd 0.903 0.903 0.292

No. 20
Computed, not measured: crystalline Na2Nd2Tl3 at its relaxed geometry at the PBE level of DFT.

Results
* Fermi-level density of states: 6.1 states/eV/cell
* energy relative to the elements: -222.1 meV per atom

abc: 3.839 3.682 15.369
angles: 90.00 82.83 90.00
Positions (direct):
1 Na 0.701 0.500 0.597
2 Na 0.299 0.500 0.403
3 Nd 0.570 0.500 0.861
4 Nd 0.430 0.500 0.139
5 Tl 0.862 0.000 0.276
6 Tl 0.000 0.000 0.000
7 Tl 0.138 0.000 0.724